A crystal of Te3P relaxed with PBEsol, computed with SCAN.

Final energy ... -29.95 eV/atom
D(E_F) ... 5.57 states/eV per cell
E_form (uncorrected) ... 0.588 eV/atom
E above lowest polymorph ... 0.224 eV per atom

Cell: 5.113 5.113 7.279 Å, 90.00 90.00 90.00°
Space group I4/mmm (No. 139)
One atom of each set of equivalent atoms:
Te 0.000 0.000 0.000
Te 0.000 0.500 0.250
P 0.000 0.000 0.500